Below is an optimized crystal structure of Ca5Np3N8, with properties calculated at the PBE level.

Values from the calculation:
E_tot = -134.03 eV/f.u.
Density of states at the Fermi level = 0.944 states/eV per atom
Magnetic moment = 21.002 μB/cell

Unit cell a=6.9661 b=6.9661 c=17.0276 alpha=90.00 beta=90.00 gamma=120.00
With the nearest neighbours (Å) after each atom.
Space group R-3m (No. 166, hexagonal axes)
One atom of each set of equivalent atoms:
Ca 0.0000 0.0000 0.0000 [3 per cell]  6 N 2.47
Ca 0.0000 0.0000 0.5000 [3 per cell]  6 N 2.48
Ca 0.0000 0.5000 0.0000 [9 per cell]  6 N 2.55-2.65
Np 0.0000 0.5000 0.5000 [9 per cell]  6 N 2.28-2.38
N 0.0000 0.0000 0.2415 [6 per cell]  3 Np 2.38, 3 Ca 2.55
N 0.0250 0.5125 0.7625 [18 per cell]  2 Np 2.28, 2 Ca 2.47-2.48



Below is an optimized crystal structure of ZrInNi2, with properties calculated at the PBE level.

Values from the calculation:
E_tot = -24.05 eV/f.u.
Density of states at the Fermi level = 0.682 states/eV per atom
Magnetic moment = 0.000 μB/cell

Unit cell a=3.2474 b=3.2474 c=6.2539 alpha=90.00 beta=90.00 gamma=90.00
With the nearest neighbours (Å) after each atom.
Space group P4/mmm (No. 123)
One atom of each set of equivalent atoms:
Zr 0.0000 0.0000 0.0000 [1 per cell]  8 Ni 2.70
In 0.0000 0.0000 0.5000 [1 per cell]  8 Ni 2.86, 2 Zr 3.13
Ni 0.5000 0.5000 0.2279 [2 per cell]  4 Zr 2.70, 1 Ni 2.85, 4 In 2.86



Below is an optimized crystal structure of NdMg3Pd4, with properties calculated at the PBE level.

Values from the calculation:
E_tot = -35.95 eV/f.u.
Density of states at the Fermi level = 0.396 states/eV per atom
Magnetic moment = 0.000 μB/cell

Unit cell a=4.5829 b=4.5829 c=24.5465 alpha=90.00 beta=90.00 gamma=120.00
With the nearest neighbours (Å) after each atom.
Space group R-3m (No. 166, hexagonal axes)
One atom of each set of equivalent atoms:
Nd 0.0000 0.0000 0.0000 [3 per cell]  8 Pd 3.02-3.10
Mg 0.0000 0.0000 0.2398 [6 per cell]  7 Pd 2.77-2.79
Mg 0.0000 0.0000 0.5000 [3 per cell]  8 Pd 2.63-2.83
Pd 0.0000 0.0000 0.1263 [6 per cell]  7 Mg 2.77-2.83
Pd 0.0000 0.0000 0.3929 [6 per cell]  4 Mg 2.63-2.77